A relaxed structure of TeMo2Br. Source: Alexandria, functional PBE-GGA.

Results
Its density of states at the Fermi level is 5.2 states/eV per cell. The value obtained for the total energy is -24.05 eV per formula unit. The calculation puts the size of the total moment at 0.0 μB per cell. As for the symmetry: No. 166. Its uncorrected formation energy is 0.61 eV per atom.

Unit cell a=8.664 b=8.664 c=8.664 alpha=21.18 beta=21.18 gamma=21.18
Positions (direct):
Te: 0.000 0.000 0.000
Mo: 0.252 0.252 0.252
Mo: 0.748 0.748 0.748
Br: 0.500 0.500 0.500